Entry 1:
Compound: RbMgTiV2
Source: Alexandria via LeMat-Bulk
Functional: GGA-PBE
Structure: relaxed

Cell: 4.7443 4.7443 5.7015 Å, 90.00 90.00 90.00°
Space group P4/mmm (No. 123)
One atom of each set of equivalent atoms:
Rb 0.0000 0.0000 0.0000
Mg 0.5000 0.5000 0.0000
Ti 0.5000 0.5000 0.5000
V 0.0000 0.5000 0.5000

Energy of formation ... 1232 meV/atom
E ... -22.53 eV/cell
Size of the total moment ... 3.3 μB/cell



Entry 2:
Compound: LiPmAuO4
Source: Alexandria via LeMat-Bulk
Functional: GGA-PBE
Structure: relaxed

Cell: 5.9679 10.3162 6.8799 Å, 90.00 90.00 90.00°
Space group Cmcm (No. 63)
One atom of each set of equivalent atoms:
Li 0.0000 0.1585 0.2500
Pm 0.0000 0.5000 0.0000
Au 0.0000 0.1438 0.7500
O 0.0000 0.2769 0.5358
O 0.2301 0.0095 0.2500

E ... -154.03 eV/cell
Size of the total moment ... 0.0 μB/cell
Raw formation energy ... -1.25 eV/atom



Question: The lowest size of the total moment belongs to which entry?
Answer: LiPmAuO4